Record 1
This record from the Alexandria database describes a relaxed structure of Pr4Nd15Al. The functional is GGA-PBE.

Cell: 5.132 5.132 26.033 Å, 90.00 90.00 90.00°
Space group P4/mmm (No. 123)
One atom of each set of equivalent atoms:
Pr: 0.000 0.000 0.101
Pr: 0.000 0.000 0.305
Nd: 0.000 0.500 0.000
Nd: 0.000 0.500 0.204
Nd: 0.000 0.500 0.408
Nd: 0.500 0.500 0.102
Nd: 0.500 0.500 0.306
Nd: 0.500 0.500 0.500
Al: 0.000 0.000 0.500

Results
Magnetic moment   0.00 μB/atom
D(E_F)   1.326 states/eV/atom
E_form   -0.010 eV per atom
Total energy   -4.729 eV/atom


Record 2
This record from the Alexandria database describes a relaxed structure of K4Tb3SnS8. The functional is GGA-PBE.

Cell: 8.1406 8.1406 22.0888 Å, 90.00 90.00 120.00°
Space group R-3m (No. 166, hexagonal axes)
One atom of each set of equivalent atoms:
K: 0.0000 0.0000 0.0000
K: 0.0000 0.5000 0.0000
Tb: 0.0000 0.5000 0.5000
Sn: 0.0000 0.0000 0.5000
S: 0.0000 0.0000 0.2344
S: 0.0009 0.5004 0.2337

Results
Magnetic moment   0.00 μB/atom
D(E_F)   0.098 states/eV/atom
Total energy   -5.051 eV/atom


Q: Which of these has the lowest total energy?
A: K4Tb3SnS8


Please write out number 1 again, unchanged.
This record from the Alexandria database describes a relaxed structure of Pr4Nd15Al. The functional is GGA-PBE.

Cell: 5.132 5.132 26.033 Å, 90.00 90.00 90.00°
Space group P4/mmm (No. 123)
One atom of each set of equivalent atoms:
Pr: 0.000 0.000 0.101
Pr: 0.000 0.000 0.305
Nd: 0.000 0.500 0.000
Nd: 0.000 0.500 0.204
Nd: 0.000 0.500 0.408
Nd: 0.500 0.500 0.102
Nd: 0.500 0.500 0.306
Nd: 0.500 0.500 0.500
Al: 0.000 0.000 0.500

Results
Magnetic moment   0.00 μB/atom
D(E_F)   1.326 states/eV/atom
E_form   -0.010 eV per atom
Total energy   -4.729 eV/atom


Q: What is the total energy in the first record?
A: -4.729 eV/atom